(1)
Here is a crystal of LaSbW relaxed with PBEsol from Alexandria. Energies are from meta-GGA SCAN.

Summary:
Formation energy from raw total energies, eV per atom: 0.470
Symmetry: No. 156
E_tot, eV for the cell shown: -148.64

a = 3.398 Å, b = 3.398 Å, c = 7.102 Å
α = 90.00°, β = 90.00°, γ = 120.00°
Atoms (fractional coordinates):
1 W 0.667 0.333 0.355
2 Sb 0.333 0.667 0.623
3 La 0.000 0.000 0.022


(2)
Here is a crystal of NdPd2Pb relaxed with PBEsol from Alexandria. Energies are from meta-GGA SCAN.

Summary:
Symmetry: No. 225
Formation energy, eV/atom: -0.70
E_tot, eV for the cell shown: -187.72

a = 4.874 Å, b = 4.874 Å, c = 4.874 Å
α = 60.00°, β = 60.00°, γ = 60.00°
Atoms (fractional coordinates):
1 Nd 0.500 0.500 0.500
2 Pd 0.750 0.750 0.750
3 Pd 0.250 0.250 0.250
4 Pb 0.000 0.000 0.000


(3)
Here is a crystal of ZrSc2Co relaxed with PBEsol from Alexandria. Energies are from meta-GGA SCAN.

Summary:
ΔE to the lowest computed polymorph, meV/atom: 0.0
Symmetry: No. 123
Formation energy, eV/atom: -0.16
E_tot, eV for the cell shown: -77.13

a = 3.121 Å, b = 3.121 Å, c = 7.599 Å
α = 90.00°, β = 90.00°, γ = 90.00°
Site moments in Bohr magnetons follow the coordinates.
Atoms (fractional coordinates):
1 Zr 0.500 0.500 0.000  0.04
2 Co 0.500 0.500 0.500  1.17
3 Sc 0.000 0.000 0.303  -0.17
4 Sc 0.000 0.000 0.697  -0.17


(4)
Here is a crystal of RbMgGe2P relaxed with PBEsol from Alexandria. Energies are from meta-GGA SCAN.

Summary:
Symmetry: No. 123
Formation energy, eV/atom: 0.40
E_tot, eV for the cell shown: -72.28

a = 5.010 Å, b = 5.051 Å, c = 5.051 Å
α = 90.00°, β = 90.00°, γ = 90.00°
Atoms (fractional coordinates):
1 Rb 0.500 0.500 0.500
2 Ge 0.000 0.000 0.500
3 Ge 0.000 0.500 0.000
4 P 0.000 0.000 0.000
5 Mg 0.500 0.000 0.000


(5)
Here is a crystal of ZrBeI2 relaxed with PBEsol from Alexandria. Energies are from meta-GGA SCAN.

Summary:
Formation energy from raw total energies, eV per atom: 0.587
Symmetry: No. 122
E_tot, eV for the cell shown: -212.37

a = 6.292 Å, b = 6.937 Å, c = 6.292 Å
α = 63.03°, β = 90.00°, γ = 116.97°
Site moments in Bohr magnetons follow the coordinates.
Atoms (fractional coordinates):
1 I 0.375 0.250 0.184  0.00
2 Be 0.500 0.000 0.500  0.04
3 Zr 0.000 0.000 0.000  0.46
4 Be 0.250 0.500 0.250  0.04
5 I 0.875 0.250 0.566  0.00
6 Zr 0.750 0.500 0.750  0.46
7 I 0.184 0.750 0.875  0.00
8 I 0.566 0.750 0.375  0.00


(6)
Here is a crystal of CoAgBiTe2 relaxed with PBEsol from Alexandria. Energies are from meta-GGA SCAN.

Summary:
Formation energy from raw total energies, eV per atom: 1.136
Symmetry: No. 123
E_tot, eV for the cell shown: -196.07

a = 5.082 Å, b = 5.905 Å, c = 5.905 Å
α = 90.00°, β = 90.00°, γ = 90.00°
Site moments in Bohr magnetons follow the coordinates.
Atoms (fractional coordinates):
1 Co 0.500 0.500 0.500  2.61
2 Bi 0.000 0.000 0.000  -0.01
3 Te 0.000 0.500 0.000  0.00
4 Te 0.000 0.000 0.500  0.00
5 Ag 0.500 0.000 0.000  -0.02